# 1
A relaxed Sc5In2TcRu2 crystal. Source: Alexandria via LeMat-Bulk, functional PBE-GGA.

```
data_Sc5In2TcRu2
_chemical_formula_sum 'Sc10 In4 Tc2 Ru4'
_cell_length_a 10.897
_cell_length_b 10.897
_cell_length_c 3.375
_cell_angle_alpha 90.00
_cell_angle_beta 90.00
_cell_angle_gamma 90.00
_space_group_name_H-M_alt 'P 4/m b m'
_space_group_IT_number 127
_space_group_name_Hall '-P 4 2ab'
loop_
_atom_site_label
_atom_site_type_symbol
_atom_site_fract_x
_atom_site_fract_y
_atom_site_fract_z
Sc1 Sc 0.000 0.500 0.000
Sc2 Sc 0.066 0.194 0.000
In1 In 0.176 0.676 0.500
Tc1 Tc 0.000 0.000 0.500
Ru1 Ru 0.131 0.369 0.500
```

Results
Energy of formation, kJ per mole of atoms: -27.5
DOS at the Fermi energy, states/eV per cell: 15.86
Total energy, eV/f.u.: -68.899


# 2
A relaxed Sc2InTeRu crystal. Source: Alexandria via LeMat-Bulk, functional PBE-GGA.

```
data_Sc2InTeRu
_chemical_formula_sum 'Sc2 In1 Te1 Ru1'
_cell_length_a 4.979
_cell_length_b 4.979
_cell_length_c 5.158
_cell_angle_alpha 90.00
_cell_angle_beta 90.00
_cell_angle_gamma 90.00
_space_group_name_H-M_alt 'P 4/m m m'
_space_group_IT_number 123
_space_group_name_Hall '-P 4 2'
loop_
_atom_site_label
_atom_site_type_symbol
_atom_site_fract_x
_atom_site_fract_y
_atom_site_fract_z
Sc1 Sc 0.000 0.500 0.000
In1 In 0.000 0.000 0.500
Te1 Te 0.500 0.500 0.500
Ru1 Ru 0.000 0.000 0.000
```

Results
DOS at the Fermi energy, states/eV per cell: 3.10
Total energy, eV/f.u.: -29.342


# 3
A relaxed ThScInRu crystal. Source: Alexandria via LeMat-Bulk, functional PBE-GGA.

```
data_ThScInRu
_chemical_formula_sum 'Th4 Sc4 In4 Ru4'
_cell_length_a 6.944
_cell_length_b 6.944
_cell_length_c 6.944
_cell_angle_alpha 90.00
_cell_angle_beta 90.00
_cell_angle_gamma 90.00
_space_group_name_H-M_alt 'F -4 3 m'
_space_group_IT_number 216
_space_group_name_Hall 'F -4 2 3'
loop_
_atom_site_label
_atom_site_type_symbol
_atom_site_fract_x
_atom_site_fract_y
_atom_site_fract_z
Th1 Th 0.000 0.000 0.000
Sc1 Sc 0.250 0.250 0.750
In1 In 0.000 0.000 0.500
Ru1 Ru 0.250 0.250 0.250
```

Results
Energy of formation, kJ per mole of atoms: -33.9
Total energy, eV/f.u.: -27.172


# 4
A relaxed ScTlIn2Ru crystal. Source: Alexandria via LeMat-Bulk, functional PBE-GGA.

```
data_ScTlIn2Ru
_chemical_formula_sum 'Sc1 Tl1 In2 Ru1'
_cell_length_a 5.695
_cell_length_b 5.695
_cell_length_c 4.550
_cell_angle_alpha 90.00
_cell_angle_beta 90.00
_cell_angle_gamma 90.00
_space_group_name_H-M_alt 'P 4/m m m'
_space_group_IT_number 123
_space_group_name_Hall '-P 4 2'
loop_
_atom_site_label
_atom_site_type_symbol
_atom_site_fract_x
_atom_site_fract_y
_atom_site_fract_z
Sc1 Sc 0.000 0.000 0.000
Tl1 Tl 0.500 0.500 0.500
In1 In 0.000 0.500 0.000
Ru1 Ru 0.000 0.000 0.500
```

Results
Energy of formation, kJ per mole of atoms: 62.4
DOS at the Fermi energy, states/eV per cell: 5.59
Total energy, eV/f.u.: -20.216


# 5
A relaxed Sc5TlIn2Ru2 crystal. Source: Alexandria via LeMat-Bulk, functional PBE-GGA.

```
data_Sc5TlIn2Ru2
_chemical_formula_sum 'Sc10 Tl2 In4 Ru4'
_cell_length_a 11.065
_cell_length_b 11.065
_cell_length_c 3.540
_cell_angle_alpha 90.00
_cell_angle_beta 90.00
_cell_angle_gamma 90.00
_space_group_name_H-M_alt 'P 4/m b m'
_space_group_IT_number 127
_space_group_name_Hall '-P 4 2ab'
loop_
_atom_site_label
_atom_site_type_symbol
_atom_site_fract_x
_atom_site_fract_y
_atom_site_fract_z
Sc1 Sc 0.000 0.500 0.000
Sc2 Sc 0.076 0.210 0.000
Tl1 Tl 0.000 0.000 0.500
In1 In 0.175 0.675 0.500
Ru1 Ru 0.127 0.373 0.500
```

Results
Energy of formation, kJ per mole of atoms: -35.1
DOS at the Fermi energy, states/eV per cell: 12.55
Total energy, eV/f.u.: -61.695


# 6
A relaxed ScInRu2W crystal. Source: Alexandria via LeMat-Bulk, functional PBE-GGA.

```
data_ScInRu2W
_chemical_formula_sum 'Sc1 In1 Ru2 W1'
_cell_length_a 4.729
_cell_length_b 4.729
_cell_length_c 4.886
_cell_angle_alpha 90.00
_cell_angle_beta 90.00
_cell_angle_gamma 90.00
_space_group_name_H-M_alt 'P 4/m m m'
_space_group_IT_number 123
_space_group_name_Hall '-P 4 2'
loop_
_atom_site_label
_atom_site_type_symbol
_atom_site_fract_x
_atom_site_fract_y
_atom_site_fract_z
Sc1 Sc 0.000 0.000 0.000
In1 In 0.000 0.000 0.500
Ru1 Ru 0.000 0.500 0.500
W1 W 0.500 0.500 0.000
```

Results
Energy of formation, kJ per mole of atoms: 198.3
DOS at the Fermi energy, states/eV per cell: 8.70
Total energy, eV/f.u.: -30.298


# 7
A relaxed Sc5ZnIn2Ru2 crystal. Source: Alexandria via LeMat-Bulk, functional PBE-GGA.

```
data_Sc5ZnIn2Ru2
_chemical_formula_sum 'Sc10 Zn2 In4 Ru4'
_cell_length_a 10.791
_cell_length_b 10.791
_cell_length_c 3.540
_cell_angle_alpha 90.00
_cell_angle_beta 90.00
_cell_angle_gamma 90.00
_space_group_name_H-M_alt 'P 4/m b m'
_space_group_IT_number 127
_space_group_name_Hall '-P 4 2ab'
loop_
_atom_site_label
_atom_site_type_symbol
_atom_site_fract_x
_atom_site_fract_y
_atom_site_fract_z
Sc1 Sc 0.000 0.500 0.000
Sc2 Sc 0.074 0.203 0.000
Zn1 Zn 0.000 0.000 0.500
In1 In 0.174 0.674 0.500
Ru1 Ru 0.129 0.371 0.500
```

Results
Energy of formation, kJ per mole of atoms: -36.2
DOS at the Fermi energy, states/eV per cell: 13.91
Total energy, eV/f.u.: -60.709


# 8
A relaxed ZrScInRu2 crystal. Source: Alexandria via LeMat-Bulk, functional PBE-GGA.

```
data_ZrScInRu2
_chemical_formula_sum 'Zr1 Sc1 In1 Ru2'
_cell_length_a 4.790
_cell_length_b 4.790
_cell_length_c 5.087
_cell_angle_alpha 90.00
_cell_angle_beta 90.00
_cell_angle_gamma 90.00
_space_group_name_H-M_alt 'P 4/m m m'
_space_group_IT_number 123
_space_group_name_Hall '-P 4 2'
loop_
_atom_site_label
_atom_site_type_symbol
_atom_site_fract_x
_atom_site_fract_y
_atom_site_fract_z
Zr1 Zr 0.000 0.000 0.000
Sc1 Sc 0.000 0.000 0.500
In1 In 0.500 0.500 0.500
Ru1 Ru 0.000 0.500 0.000
```

Results
Energy of formation, kJ per mole of atoms: 97.1
DOS at the Fermi energy, states/eV per cell: 4.12
Total energy, eV/f.u.: -31.137


# 9
A relaxed InRuSe2 crystal. Source: Alexandria via LeMat-Bulk, functional PBE-GGA.

```
data_InRuSe2
_chemical_formula_sum 'In2 Ru2 Se4'
_cell_length_a 10.227
_cell_length_b 3.207
_cell_length_c 6.020
_cell_angle_alpha 90.00
_cell_angle_beta 115.70
_cell_angle_gamma 90.00
_space_group_name_H-M_alt 'C 1 m 1'
_space_group_IT_number 8
loop_
_space_group_symop_operation_xyz
'x,y,z'
'x,-y,z'
'x+1/2,y+1/2,z'
'x+1/2,-y+1/2,z'
loop_
_atom_site_label
_atom_site_type_symbol
_atom_site_fract_x
_atom_site_fract_y
_atom_site_fract_z
In1 In 0.000 0.000 0.000
Ru1 Ru 0.209 0.500 0.942
Se1 Se 0.197 0.000 0.626
Se2 Se 0.366 0.000 0.272
```

Results
DOS at the Fermi energy, states/eV per cell: 5.45
Total energy, eV/f.u.: -19.206


# 10
A relaxed InRuSe2 crystal. Source: Alexandria via LeMat-Bulk, functional PBE-GGA.

```
data_InRuSe2
_chemical_formula_sum 'In4 Ru4 Se8'
_cell_length_a 7.230
_cell_length_b 7.230
_cell_length_c 7.625
_cell_angle_alpha 90.00
_cell_angle_beta 90.00
_cell_angle_gamma 90.00
_space_group_name_H-M_alt 'I -4 2 d'
_space_group_IT_number 122
_space_group_name_Hall 'I -4 2bw'
loop_
_atom_site_label
_atom_site_type_symbol
_atom_site_fract_x
_atom_site_fract_y
_atom_site_fract_z
In1 In 0.000 0.000 0.000
Ru1 Ru 0.000 0.000 0.500
Se1 Se 0.168 0.250 0.625
```

Results
DOS at the Fermi energy, states/eV per cell: 17.18
Total energy, eV/f.u.: -19.263


# 11
A relaxed In3RuSe crystal. Source: Alexandria via LeMat-Bulk, functional PBE-GGA.

```
data_In3RuSe
_chemical_formula_sum 'In3 Ru1 Se1'
_cell_length_a 5.145
_cell_length_b 5.145
_cell_length_c 5.145
_cell_angle_alpha 90.00
_cell_angle_beta 90.00
_cell_angle_gamma 90.00
_space_group_name_H-M_alt 'P m -3 m'
_space_group_IT_number 221
_space_group_name_Hall '-P 4 2 3'
loop_
_atom_site_label
_atom_site_type_symbol
_atom_site_fract_x
_atom_site_fract_y
_atom_site_fract_z
In1 In 0.000 0.000 0.500
Ru1 Ru 0.000 0.000 0.000
Se1 Se 0.500 0.500 0.500
```

Results
Energy relative to the lowest polymorph listed for this composition, meV per atom: 0.0
DOS at the Fermi energy, states/eV per cell: 2.80
Total energy, eV/f.u.: -20.250


# 12
A relaxed In4RuSe crystal. Source: Alexandria via LeMat-Bulk, functional PBE-GGA.

```
data_In4RuSe
_chemical_formula_sum 'In16 Ru4 Se4'
_cell_length_a 8.340
_cell_length_b 8.340
_cell_length_c 8.340
_cell_angle_alpha 90.00
_cell_angle_beta 90.00
_cell_angle_gamma 90.00
_space_group_name_H-M_alt 'F -4 3 m'
_space_group_IT_number 216
_space_group_name_Hall 'F -4 2 3'
loop_
_atom_site_label
_atom_site_type_symbol
_atom_site_fract_x
_atom_site_fract_y
_atom_site_fract_z
In1 In 0.125 0.125 0.125
Ru1 Ru 0.250 0.250 0.750
Se1 Se 0.000 0.000 0.500
```

Results
DOS at the Fermi energy, states/eV per cell: 16.23
Total energy, eV/f.u.: -19.841


Question: The lowest total energy belongs to which entry?
Answer: Sc5In2TcRu2


Question: Which of these has the lowest total energy?
Answer: Sc5In2TcRu2